No. 1
VASP calculation (GGA-PBE) on a relaxed structure of Nd2Zn3Ga2. Values from VASP.

Values from the calculation:
offset from the most stable computed form	194	meV/atom
energy of formation	-0.268	eV/atom
crystal system	orthorhombic
raw total energy	-21.29	eV/f.u.

Quantum ESPRESSO input file:
```
&SYSTEM
  ibrav = 0, nat = 14, ntyp = 3
/
ATOMIC_SPECIES
Nd 144.24 Nd.upf
Zn 65.41 Zn.upf
Ga 69.72 Ga.upf
ATOMIC_POSITIONS crystal
Nd 0.000 0.152 0.000
Nd 0.000 0.848 0.000
Nd 0.500 0.348 0.000
Nd 0.500 0.652 0.000
Zn 0.000 0.000 0.000
Zn 0.000 0.439 0.500
Zn 0.000 0.561 0.500
Zn 0.500 0.061 0.500
Zn 0.500 0.500 0.000
Zn 0.500 0.939 0.500
Ga 0.000 0.283 0.500
Ga 0.000 0.717 0.500
Ga 0.500 0.217 0.500
Ga 0.500 0.783 0.500
CELL_PARAMETERS angstrom
4.190 0.000 0.000
0.000 21.135 0.000
0.000 0.000 3.488
```

---

No. 2
VASP calculation (GGA-PBE) on a relaxed structure of TcHgGeOsW. Values from VASP.

Values from the calculation:
offset from the most stable computed form	132	meV/atom
energy of formation	0.335	eV/atom
crystal system	triclinic
raw total energy	-37.79	eV/f.u.

Quantum ESPRESSO input file:
```
&SYSTEM
  ibrav = 0, nat = 5, ntyp = 5
/
ATOMIC_SPECIES
Tc 98.00 Tc.upf
Hg 200.59 Hg.upf
Ge 72.64 Ge.upf
Os 190.23 Os.upf
W 183.84 W.upf
ATOMIC_POSITIONS crystal
Tc 0.000 0.000 0.000
Hg 0.367 0.485 0.785
Ge 0.216 0.278 0.292
Os 0.522 0.685 0.271
W 0.734 0.963 0.571
CELL_PARAMETERS angstrom
2.889 0.000 0.000
1.444 5.292 0.000
1.439 0.129 5.441
```

---

No. 3
VASP calculation (GGA-PBE) on a relaxed structure of BaRuW2. Values from VASP.

Values from the calculation:
offset from the most stable computed form	616	meV/atom
energy of formation	1.332	eV/atom
crystal system	cubic
raw total energy	-31.78	eV/f.u.

Quantum ESPRESSO input file:
```
&SYSTEM
  ibrav = 0, nat = 16, ntyp = 3
/
ATOMIC_SPECIES
Ba 137.33 Ba.upf
Ru 101.07 Ru.upf
W 183.84 W.upf
ATOMIC_POSITIONS crystal
Ba 0.000 0.000 0.000
Ba 0.000 0.500 0.500
Ba 0.500 0.000 0.500
Ba 0.500 0.500 0.000
Ru 0.250 0.250 0.250
Ru 0.250 0.750 0.750
Ru 0.750 0.250 0.750
Ru 0.750 0.750 0.250
W 0.000 0.000 0.500
W 0.000 0.500 0.000
W 0.250 0.250 0.750
W 0.250 0.750 0.250
W 0.500 0.000 0.000
W 0.500 0.500 0.500
W 0.750 0.250 0.250
W 0.750 0.750 0.750
CELL_PARAMETERS angstrom
6.750 0.000 0.000
0.000 6.750 0.000
0.000 0.000 6.750
```

---

No. 4
VASP calculation (GGA-PBE) on a relaxed structure of CeZn3Pd3. Values from VASP.

Values from the calculation:
offset from the most stable computed form	0	meV/atom
energy of formation	-0.486	eV/atom
crystal system	trigonal
raw total energy	-28.74	eV/f.u.

Quantum ESPRESSO input file:
```
&SYSTEM
  ibrav = 0, nat = 14, ntyp = 3
/
ATOMIC_SPECIES
Ce 140.12 Ce.upf
Zn 65.41 Zn.upf
Pd 106.42 Pd.upf
ATOMIC_POSITIONS crystal
Ce 0.157 0.157 0.157
Ce 0.843 0.843 0.843
Zn 0.074 0.247 0.578
Zn 0.247 0.578 0.074
Zn 0.422 0.926 0.753
Zn 0.578 0.074 0.247
Zn 0.753 0.422 0.926
Zn 0.926 0.753 0.422
Pd 0.198 0.427 0.682
Pd 0.318 0.802 0.573
Pd 0.427 0.682 0.198
Pd 0.573 0.318 0.802
Pd 0.682 0.198 0.427
Pd 0.802 0.573 0.318
CELL_PARAMETERS angstrom
3.346 1.932 6.416
-3.346 1.932 6.416
0.000 -3.863 6.416
```